A plane-wave DFT calculation with PBE was carried out for an optimized crystal structure of La6Sm2Tl.

energy above the lowest structure with this stoichiometry = 69 meV per atom
space group = C2/c

Unit cell a=6.2884 b=6.2884 c=15.7127 alpha=92.58 beta=92.58 gamma=98.81
Element x y z (fractional)
La 0.1079 0.7851 0.9669
La 0.2125 0.4316 0.6615
La 0.2149 0.8921 0.5331
La 0.2700 0.3935 0.4151
La 0.3935 0.2700 0.9151
La 0.4316 0.2125 0.1615
La 0.5684 0.7875 0.8385
La 0.6065 0.7300 0.0849
La 0.7300 0.6065 0.5849
La 0.7851 0.1079 0.4669
La 0.7875 0.5684 0.3385
La 0.8921 0.2149 0.0331
Sm 0.0931 0.6199 0.1765
Sm 0.3801 0.9069 0.3235
Sm 0.6199 0.0931 0.6765
Sm 0.9069 0.3801 0.8235
Tl 0.0829 0.9171 0.7500
Tl 0.9171 0.0829 0.2500



A plane-wave DFT calculation with PBE was carried out for an optimized crystal structure of Zr2ScNbCr.

uncorrected energy = -7.91 eV/atom
space group = P4/mmm

Unit cell a=4.7919 b=4.7919 c=4.7778 alpha=90.00 beta=90.00 gamma=90.00
Element x y z (fractional)
Zr 0.0000 0.5000 0.0000
Zr 0.5000 0.0000 0.0000
Sc 0.0000 0.0000 0.5000
Nb 0.5000 0.5000 0.5000
Cr 0.0000 0.0000 0.0000



A plane-wave DFT calculation with PBE was carried out for an optimized crystal structure of CrInRe2.

uncorrected energy = -8.64 eV/atom
space group = P4/mmm

Unit cell a=4.4466 b=4.4466 c=3.1409 alpha=90.00 beta=90.00 gamma=90.00
Element x y z (fractional)
Cr 0.0000 0.0000 0.0000
In 0.5000 0.5000 0.0000
Re 0.0000 0.5000 0.5000
Re 0.5000 0.0000 0.5000



A plane-wave DFT calculation with PBE was carried out for an optimized crystal structure of Ti2BiN.

energy above the lowest structure with this stoichiometry = 0 meV per atom
space group = R-3m

Unit cell a=7.0084 b=7.0084 c=7.0084 alpha=27.23 beta=27.23 gamma=27.23
Element x y z (fractional)
Ti 0.2140 0.2140 0.2140
Ti 0.7860 0.7860 0.7860
Bi 0.0000 0.0000 0.0000
N 0.5000 0.5000 0.5000



A plane-wave DFT calculation with PBE was carried out for an optimized crystal structure of KFePdCl6.

uncorrected energy = -3.66 eV/atom
space group = P312

Unit cell a=6.3870 b=6.3870 c=6.8721 alpha=90.00 beta=90.00 gamma=120.00
Element x y z (fractional)
K 0.0000 0.0000 0.0000
Fe 0.6667 0.3333 0.5000
Pd 0.3333 0.6667 0.5000
Cl 0.3871 0.0309 0.6924
Cl 0.3871 0.3562 0.3076
Cl 0.6438 0.0309 0.3076
Cl 0.6438 0.6129 0.6924
Cl 0.9691 0.3562 0.6924
Cl 0.9691 0.6129 0.3076



A plane-wave DFT calculation with PBE was carried out for an optimized crystal structure of LiTbIr.

energy above the lowest structure with this stoichiometry = 181 meV per atom
space group = P4_2/mmc

Unit cell a=4.6912 b=4.6912 c=6.0077 alpha=90.00 beta=90.00 gamma=90.00
Element x y z (fractional)
Li 0.0000 0.5000 0.0000
Li 0.5000 0.0000 0.5000
Tb 0.0000 0.5000 0.5000
Tb 0.5000 0.0000 0.0000
Ir 0.0000 0.0000 0.2500
Ir 0.0000 0.0000 0.7500



A plane-wave DFT calculation with PBE was carried out for an optimized crystal structure of LiGaRu.

energy above the lowest structure with this stoichiometry = 14 meV per atom
space group = Amm2

Unit cell a=4.2751 b=6.7225 c=6.7225 alpha=25.11 beta=90.00 gamma=90.00
Element x y z (fractional)
Li 0.0000 0.0000 0.0000
Li 0.0000 0.3312 0.3312
Ga 0.0000 0.6731 0.6731
Ga 0.5000 0.4688 0.4688
Ru 0.5000 0.1372 0.1372
Ru 0.5000 0.8089 0.8089



A plane-wave DFT calculation with PBE was carried out for an optimized crystal structure of SmHfTaN3.

uncorrected energy = -9.80 eV/atom
space group = P2_1/m

Unit cell a=6.8398 b=3.2033 c=8.3569 alpha=90.00 beta=94.01 gamma=90.00
Element x y z (fractional)
Sm 0.1435 0.2500 0.1834
Sm 0.8565 0.7500 0.8166
Hf 0.3674 0.7500 0.8702
Hf 0.6326 0.2500 0.1298
Ta 0.1527 0.2500 0.5822
Ta 0.8473 0.7500 0.4178
N 0.1476 0.2500 0.8522
N 0.1534 0.7500 0.4186
N 0.4088 0.7500 0.1235
N 0.5912 0.2500 0.8765
N 0.8466 0.2500 0.5814
N 0.8524 0.7500 0.1478



Volume readings, ordered: 34.0; 21.9; 15.5; 15.9; 27.0; 22.0; 13.7; 15.2 Å³ per atom
Total magnetization readings, ordered: 0.0; 0.0; 0.9; 0.0; 3.1; 0.0; 0.0; 0.0 μB/f.u.
Ρ readings, ordered: 7.26; 5.64; 14.42; 8.33; 2.83; 8.99; 7.20; 10.03 g/cm³